# 1
This record from Alexandria describes La4PmDy10 after structural relaxation. The functional is GGA-PBE.

Calculated values
- Calculated formation energy: 0.34 eV/atom
- Symmetry: I4/m, No. 87
- Total moment: 0.00 μB/cell

Cell lengths 8.7597, 8.7597, 8.7597 Å; angles 112.23, 112.23, 104.08 degrees
With the nearest neighbours (Å) after each atom.
Atoms (fractional coordinates):
La 0.0638 0.6661 0.7298  2 Dy 3.21, 1 Pm 3.32, 1 La 3.47
La 0.3339 0.0638 0.3977  2 Dy 3.21, 1 Pm 3.32, 1 La 3.47
La 0.6661 0.9362 0.6023  2 Dy 3.21, 1 Pm 3.32, 1 La 3.47
La 0.9362 0.3339 0.2702  2 Dy 3.21, 1 Pm 3.32, 1 La 3.47
Pm 0.0000 0.0000 0.0000  4 La 3.32
Dy 0.1327 0.2256 0.6763  5 Dy 3.22-3.43, 1 La 3.60
Dy 0.2256 0.5493 0.0929  5 Dy 3.22-3.43, 1 La 3.60
Dy 0.2500 0.7500 0.5000  4 La 3.21, 4 Dy 3.22
Dy 0.4507 0.5436 0.6763  5 Dy 3.22-3.43, 1 La 3.60
Dy 0.4564 0.1327 0.9071  5 Dy 3.22-3.43, 1 La 3.60
Dy 0.5436 0.8673 0.0929  5 Dy 3.22-3.43, 1 La 3.60
Dy 0.5493 0.4564 0.3237  5 Dy 3.22-3.43, 1 La 3.60
Dy 0.7500 0.2500 0.5000  4 La 3.21, 4 Dy 3.22
Dy 0.7744 0.4507 0.9071  5 Dy 3.22-3.43, 1 La 3.60
Dy 0.8673 0.7744 0.3237  5 Dy 3.22-3.43, 1 La 3.60

***

# 2
This record from Alexandria describes La14PmDy after structural relaxation. The functional is GGA-PBE.

Calculated values
- Calculated formation energy: 0.08 eV/atom
- Symmetry: Amm2, No. 38
- Total moment: 0.00 μB/cell

Cell lengths 11.9378, 7.1585, 7.1585 Å; angles 108.83, 90.00, 90.00 degrees
With the nearest neighbours (Å) after each atom.
Atoms (fractional coordinates):
La 0.0000 0.0000 0.0000  3 La 3.31-3.60
La 0.0000 0.4326 0.4326  4 La 3.18-3.54
La 0.0000 0.5239 0.9488  4 La 3.31-3.54
La 0.0000 0.9488 0.5239  4 La 3.31-3.54
La 0.2471 0.2386 0.8094  8 La 3.43-3.83
La 0.2471 0.8094 0.2386  8 La 3.43-3.83
La 0.2519 0.3100 0.3100  3 La 3.18-3.45, 1 Pm 3.22
La 0.2597 0.7431 0.7431  6 La 3.43-3.79, 1 Pm 3.71, 1 Dy 3.75
La 0.5000 0.5163 0.9672  2 Pm 3.52-3.68, 2 Dy 3.58-3.64, 6 La 3.59-3.89
La 0.5000 0.9672 0.5163  2 Pm 3.52-3.68, 2 Dy 3.58-3.64, 6 La 3.59-3.89
La 0.7403 0.7431 0.7431  6 La 3.43-3.79, 1 Pm 3.71, 1 Dy 3.75
La 0.7481 0.3100 0.3100  3 La 3.18-3.45, 1 Pm 3.22
La 0.7529 0.2386 0.8094  8 La 3.43-3.83
La 0.7529 0.8094 0.2386  8 La 3.43-3.83
Pm 0.5000 0.4607 0.4607  4 La 3.22-3.52, 1 Dy 3.56
Dy 0.5000 0.0335 0.0335  1 Pm 3.56, 12 La 3.58-3.92

***

# 3
This record from Alexandria describes La2Pm8Dy after structural relaxation. The functional is GGA-PBE.

Calculated values
- Calculated formation energy: 0.17 eV/atom
- Symmetry: C2/m, No. 12
- Total moment: 0.00 μB/cell

Cell lengths 10.3207, 10.3207, 5.7529 Å; angles 93.46, 93.46, 40.45 degrees
With the nearest neighbours (Å) after each atom.
Atoms (fractional coordinates):
La 0.2165 0.2165 0.2614  9 Pm 3.33-3.72
La 0.7835 0.7835 0.7386  9 Pm 3.33-3.72
Pm 0.0445 0.0445 0.2350  1 Pm 3.11, 1 La 3.33
Pm 0.1106 0.6373 0.2687  6 Pm 3.38-3.76, 1 Dy 3.52, 2 La 3.58-3.72
Pm 0.3160 0.3160 0.7739  4 La 3.42-3.63, 4 Pm 3.53-3.70, 1 Dy 3.71
Pm 0.3627 0.8894 0.7313  6 Pm 3.38-3.76, 1 Dy 3.52, 2 La 3.58-3.72
Pm 0.6373 0.1106 0.2687  6 Pm 3.38-3.76, 1 Dy 3.52, 2 La 3.58-3.72
Pm 0.6840 0.6840 0.2261  4 La 3.42-3.63, 4 Pm 3.53-3.70, 1 Dy 3.71
Pm 0.8894 0.3627 0.7313  6 Pm 3.38-3.76, 1 Dy 3.52, 2 La 3.58-3.72
Pm 0.9555 0.9555 0.7650  1 Pm 3.11, 1 La 3.33
Dy 0.5000 0.5000 0.0000  10 Pm 3.52-3.89

***

# 4
This record from Alexandria describes LaPm2Dy5 after structural relaxation. The functional is GGA-PBE.

Calculated values
- Calculated formation energy: 0.03 eV/atom
- Symmetry: C2/m, No. 12
- Total moment: 0.00 μB/cell

Cell lengths 13.6820, 11.2307, 3.5769 Å; angles 90.00, 105.07, 90.00 degrees
With the nearest neighbours (Å) after each atom.
Atoms (fractional coordinates):
La 0.0000 0.0000 0.0000  2 La 3.58, 4 Pm 3.67-3.68, 8 Dy 3.94
La 0.5000 0.5000 0.0000  2 La 3.58, 4 Pm 3.67-3.68, 8 Dy 3.94
Pm 0.2432 0.0000 0.7440  7 Dy 3.37-3.54, 2 Pm 3.58, 2 La 3.67-3.68
Pm 0.2568 0.5000 0.2560  7 Dy 3.37-3.54, 2 Pm 3.58, 2 La 3.67-3.68
Pm 0.7432 0.5000 0.7440  7 Dy 3.37-3.54, 2 Pm 3.58, 2 La 3.67-3.68
Pm 0.7568 0.0000 0.2560  7 Dy 3.37-3.54, 2 Pm 3.58, 2 La 3.67-3.68
Dy 0.0000 0.5000 0.0000  2 Pm 3.39, 10 Dy 3.58-3.59
Dy 0.1325 0.2707 0.6327  3 Pm 3.37-3.54, 7 Dy 3.50-3.61
Dy 0.1325 0.7293 0.6327  3 Pm 3.37-3.54, 7 Dy 3.50-3.61
Dy 0.3675 0.2293 0.3673  3 Pm 3.37-3.54, 7 Dy 3.50-3.61
Dy 0.3675 0.7707 0.3673  3 Pm 3.37-3.54, 7 Dy 3.50-3.61
Dy 0.5000 0.0000 0.0000  2 Pm 3.39, 10 Dy 3.58-3.59
Dy 0.6325 0.2293 0.6327  3 Pm 3.37-3.54, 7 Dy 3.50-3.61
Dy 0.6325 0.7707 0.6327  3 Pm 3.37-3.54, 7 Dy 3.50-3.61
Dy 0.8675 0.2707 0.3673  3 Pm 3.37-3.54, 7 Dy 3.50-3.61
Dy 0.8675 0.7293 0.3673  3 Pm 3.37-3.54, 7 Dy 3.50-3.61

***

# 5
This record from Alexandria describes La5Pm2Dy3 after structural relaxation. The functional is GGA-PBE.

Calculated values
- Calculated formation energy: 0.16 eV/atom
- Symmetry: C2/c, No. 15
- Total moment: 0.00 μB/cell

Cell lengths 9.2809, 9.2809, 10.2161 Å; angles 108.71, 108.71, 106.99 degrees
With the nearest neighbours (Å) after each atom.
Atoms (fractional coordinates):
La 0.0167 0.9833 0.7500  1 La 3.10, 2 Pm 3.45
La 0.1231 0.3822 0.7530  3 Dy 3.47-3.84, 3 La 3.51-3.59, 2 Pm 3.84-3.88
La 0.2245 0.7755 0.7500  1 La 3.10, 2 Dy 3.45
La 0.3822 0.1231 0.2530  3 Dy 3.47-3.84, 3 La 3.51-3.59, 2 Pm 3.84-3.88
La 0.4752 0.5248 0.2500  1 Dy 3.08
La 0.5248 0.4752 0.7500  1 Dy 3.08
La 0.6178 0.8769 0.7470  3 Dy 3.47-3.84, 3 La 3.51-3.59, 2 Pm 3.84-3.88
La 0.7755 0.2245 0.2500  1 La 3.10, 2 Dy 3.45
La 0.8769 0.6178 0.2470  3 Dy 3.47-3.84, 3 La 3.51-3.59, 2 Pm 3.84-3.88
La 0.9833 0.0167 0.2500  1 La 3.10, 2 Pm 3.45
Pm 0.0274 0.2848 0.0619  3 Dy 3.29-3.55, 4 La 3.45-3.61
Pm 0.2848 0.0274 0.5619  3 Dy 3.29-3.55, 4 La 3.45-3.61
Pm 0.7152 0.9726 0.4381  3 Dy 3.29-3.55, 4 La 3.45-3.61
Pm 0.9726 0.7152 0.9381  3 Dy 3.29-3.55, 4 La 3.45-3.61
Dy 0.2228 0.4751 0.4440  1 Pm 3.29, 5 La 3.45-3.63, 1 Dy 3.57
Dy 0.2688 0.7312 0.2500  1 La 3.08, 2 Pm 3.40
Dy 0.4751 0.2228 0.9440  1 Pm 3.29, 5 La 3.45-3.63, 1 Dy 3.57
Dy 0.5249 0.7772 0.0560  1 Pm 3.29, 5 La 3.45-3.63, 1 Dy 3.57
Dy 0.7312 0.2688 0.7500  1 La 3.08, 2 Pm 3.40
Dy 0.7772 0.5249 0.5560  1 Pm 3.29, 5 La 3.45-3.63, 1 Dy 3.57

***

# 6
This record from Alexandria describes La3PmDy7 after structural relaxation. The functional is GGA-PBE.

Calculated values
- Calculated formation energy: 0.17 eV/atom
- Symmetry: P3m1, No. 156
- Total moment: 0.00 μB/cell

Cell lengths 7.1182, 7.1182, 8.8168 Å; angles 90.00, 90.00, 120.00 degrees
With the nearest neighbours (Å) after each atom.
Atoms (fractional coordinates):
La 0.1670 0.3340 0.0000  4 La 3.55-3.57, 5 Dy 3.62-3.64, 1 Pm 3.64
La 0.1670 0.8330 0.0000  4 La 3.55-3.57, 5 Dy 3.62-3.64, 1 Pm 3.64
La 0.6660 0.8330 0.0000  4 La 3.55-3.57, 5 Dy 3.62-3.64, 1 Pm 3.64
Pm 0.0000 0.0000 0.6590  9 Dy 3.49-3.56, 3 La 3.64
Dy 0.0014 0.5007 0.6589  7 Dy 3.47-3.57, 2 Pm 3.56, 2 La 3.64
Dy 0.3325 0.1663 0.3385  1 Pm 3.49, 8 Dy 3.50-3.57, 2 La 3.62
Dy 0.3333 0.6667 0.3405  9 Dy 3.47-3.56, 3 La 3.64
Dy 0.4993 0.5007 0.6589  7 Dy 3.47-3.57, 2 Pm 3.56, 2 La 3.64
Dy 0.4993 0.9986 0.6589  7 Dy 3.47-3.57, 2 Pm 3.56, 2 La 3.64
Dy 0.8337 0.1663 0.3385  1 Pm 3.49, 8 Dy 3.50-3.57, 2 La 3.62
Dy 0.8337 0.6675 0.3385  1 Pm 3.49, 8 Dy 3.50-3.57, 2 La 3.62

***

# 7
This record from Alexandria describes LaPm10Dy6 after structural relaxation. The functional is GGA-PBE.

Calculated values
- Calculated formation energy: 0.13 eV/atom
- Symmetry: P-31m, No. 162
- Total moment: 0.00 μB/cell

Cell lengths 9.8508, 9.8508, 6.9125 Å; angles 90.00, 90.00, 120.00 degrees
With the nearest neighbours (Å) after each atom.
Atoms (fractional coordinates):
La 0.0000 0.0000 0.0000  6 Pm 3.51, 6 Dy 3.91
Pm 0.0000 0.2774 0.6809  5 Dy 3.42-3.66, 1 La 3.51, 4 Pm 3.70-3.80
Pm 0.0000 0.7226 0.3191  5 Dy 3.42-3.66, 1 La 3.51, 4 Pm 3.70-3.80
Pm 0.2774 0.0000 0.6809  5 Dy 3.42-3.66, 1 La 3.51, 4 Pm 3.70-3.80
Pm 0.2774 0.2774 0.3191  5 Dy 3.42-3.66, 1 La 3.51, 4 Pm 3.70-3.80
Pm 0.3333 0.6667 0.0000  6 Dy 3.38, 2 Pm 3.46
Pm 0.3333 0.6667 0.5000  8 Pm 3.46-3.80, 6 Dy 3.76
Pm 0.6667 0.3333 0.0000  6 Dy 3.38, 2 Pm 3.46
Pm 0.6667 0.3333 0.5000  8 Pm 3.46-3.80, 6 Dy 3.76
Pm 0.7226 0.0000 0.3191  5 Dy 3.42-3.66, 1 La 3.51, 4 Pm 3.70-3.80
Pm 0.7226 0.7226 0.6809  5 Dy 3.42-3.66, 1 La 3.51, 4 Pm 3.70-3.80
Dy 0.0000 0.3732 0.1931  9 Pm 3.38-3.76, 1 Dy 3.66
Dy 0.0000 0.6268 0.8069  9 Pm 3.38-3.76, 1 Dy 3.66
Dy 0.3732 0.0000 0.1931  9 Pm 3.38-3.76, 1 Dy 3.66
Dy 0.3732 0.3732 0.8069  9 Pm 3.38-3.76, 1 Dy 3.66
Dy 0.6268 0.0000 0.8069  9 Pm 3.38-3.76, 1 Dy 3.66
Dy 0.6268 0.6268 0.1931  9 Pm 3.38-3.76, 1 Dy 3.66

***

# 8
This record from Alexandria describes La5PmDy6 after structural relaxation. The functional is GGA-PBE.

Calculated values
- Calculated formation energy: 0.02 eV/atom
- Symmetry: P-1, No. 2
- Total moment: 0.00 μB/cell

Cell lengths 6.2185, 7.3749, 9.6393 Å; angles 112.47, 91.96, 90.04 degrees
With the nearest neighbours (Å) after each atom.
Atoms (fractional coordinates):
La 0.0000 0.0000 0.0000  8 Dy 3.61-3.62, 2 La 3.68, 2 Pm 3.69
La 0.3323 0.3343 0.6686  8 Dy 3.60-3.63, 1 Pm 3.67, 3 La 3.69-3.70
La 0.3333 0.8335 0.6668  8 Dy 3.61-3.62, 4 La 3.68-3.70
La 0.6667 0.1665 0.3332  8 Dy 3.61-3.62, 4 La 3.68-3.70
La 0.6677 0.6657 0.3314  8 Dy 3.60-3.63, 1 Pm 3.67, 3 La 3.69-3.70
Pm 0.0000 0.5000 0.0000  8 Dy 3.61, 4 La 3.67-3.69
Dy 0.1677 0.4166 0.3323  1 Pm 3.61, 7 La 3.61-3.63, 4 Dy 3.67-3.71
Dy 0.1678 0.9156 0.3322  1 Pm 3.61, 7 La 3.61-3.63, 4 Dy 3.67-3.71
Dy 0.5001 0.2510 0.0000  6 La 3.60-3.62, 2 Pm 3.61, 4 Dy 3.67-3.70
Dy 0.4999 0.7490 0.0000  6 La 3.60-3.62, 2 Pm 3.61, 4 Dy 3.67-3.70
Dy 0.8322 0.0844 0.6678  1 Pm 3.61, 7 La 3.61-3.63, 4 Dy 3.67-3.71
Dy 0.8323 0.5834 0.6677  1 Pm 3.61, 7 La 3.61-3.63, 4 Dy 3.67-3.71